A plane-wave DFT calculation with PBE-GGA was carried out for a relaxed structure of Na3Tl3Hg.

Properties
DFT total energy   -1.666 eV per atom
Energy of formation   -43 meV per atom
Excess energy over the best structure of this formula in the dataset   55.8 meV per atom

Lattice parameters (Å, degrees): 10.2050 5.2111 10.2132 90.00 119.97 90.00
Atoms (fractional coordinates):
Na  0.0556  0.2500  0.2752
Na  0.2765  0.7500  0.7210
Na  0.2801  0.7500  0.0565
Na  0.7199  0.2500  0.9435
Na  0.7235  0.2500  0.2790
Na  0.9444  0.7500  0.7248
Tl  0.2680  0.7500  0.3836
Tl  0.3831  0.2500  0.6151
Tl  0.3851  0.2500  0.2688
Tl  0.6149  0.7500  0.7312
Tl  0.6169  0.7500  0.3849
Tl  0.7320  0.2500  0.6164
Hg  0.1671  0.2500  0.8342
Hg  0.8329  0.7500  0.1658



A plane-wave DFT calculation with PBE-GGA was carried out for a relaxed structure of Na2Tl2Hg.

Properties
DFT total energy   -1.697 eV per atom
Energy of formation   -162 meV per atom
Excess energy over the best structure of this formula in the dataset   0.0 meV per atom

Lattice parameters (Å, degrees): 10.0708 10.0708 5.2970 90.04 90.04 31.04
Atoms (fractional coordinates):
Na  0.1395  0.6709  0.7493
Na  0.3291  0.8605  0.7507
Na  0.6709  0.1395  0.2493
Na  0.8605  0.3291  0.2507
Tl  0.0674  0.5363  0.2496
Tl  0.4637  0.9326  0.2504
Tl  0.5363  0.0674  0.7496
Tl  0.9326  0.4637  0.7504
Hg  0.2737  0.7263  0.2500
Hg  0.7263  0.2737  0.7500



A plane-wave DFT calculation with PBE-GGA was carried out for a relaxed structure of Na2Tl3Hg3.

Properties
DFT total energy   -1.437 eV per atom
Energy of formation   -107 meV per atom
Excess energy over the best structure of this formula in the dataset   27.2 meV per atom

Lattice parameters (Å, degrees): 7.8187 7.8187 5.8732 108.38 108.38 41.15
Atoms (fractional coordinates):
Na  0.2466  0.2466  0.2719
Na  0.7534  0.7534  0.7281
Tl  0.3782  0.3782  0.8902
Tl  0.5000  0.5000  0.5000
Tl  0.6218  0.6218  0.1098
Hg  0.0000  0.0000  0.0000
Hg  0.1313  0.1313  0.6623
Hg  0.8687  0.8687  0.3377